A plane-wave DFT calculation with PBE was carried out for a relaxed P2RuNO crystal.

Lattice parameters (Å, degrees): 3.676 4.271 4.666 71.27 81.58 70.47
Fractional positions:
P1 0.000 0.000 0.000
P2 0.029 0.512 0.634
Ru1 0.523 0.614 0.297
N1 0.851 0.749 0.872
O1 0.613 0.146 0.199

- Calculated density: 4.91 Mg/m³
- Calculated volume: 65.3 Å³ per cell
- Space group: P1, No. 1
- Raw formation energy: -0.3394 eV/atom
- DOS at the Fermi energy: 0.485 states/eV per atom
- Energy above the most stable polymorph in this dataset: 258 meV/atom